Below is a relaxed structure of Cs2InOsF6, with properties calculated at the PBE level.

Properties
Total moment, μB per formula unit: 1.00
Space-group type: No. 225
Total energy, eV/atom: -4.6804

```
data_Cs2InOsF6
_chemical_formula_sum 'Cs2 In1 Os1 F6'
_cell_length_a 6.6427
_cell_length_b 6.6427
_cell_length_c 6.6427
_cell_angle_alpha 60.00
_cell_angle_beta 60.00
_cell_angle_gamma 60.00
_space_group_name_H-M_alt 'P 1'
_space_group_IT_number 1
_space_group_name_Hall 'P 1'
loop_
_atom_site_label
_atom_site_type_symbol
_atom_site_fract_x
_atom_site_fract_y
_atom_site_fract_z
_atom_site_occupancy
Cs1 Cs 0.2500 0.2500 0.2500 1
Cs2 Cs 0.7500 0.7500 0.7500 1
In1 In 0.0000 0.0000 0.0000 1
Os1 Os 0.5000 0.5000 0.5000 1
F1 F 0.2807 0.2807 0.7193 1
F2 F 0.2807 0.7193 0.2807 1
F3 F 0.2807 0.7193 0.7193 1
F4 F 0.7193 0.2807 0.2807 1
F5 F 0.7193 0.2807 0.7193 1
F6 F 0.7193 0.7193 0.2807 1
```